[1]
Pu5Ge2Pt: optimized geometry, GGA-PBE.

Cell lengths 6.0045, 6.0298, 6.1450 Å; angles 115.97, 96.86, 115.10 degrees
Closest atoms and distances in Å follow each position.
Atoms (fractional coordinates):
Pu (0.0000, 0.0000, 0.0000)  1 Pu 2.68
Pu (0.0318, 0.5703, 0.6365)  2 Pu 2.63-2.68
Pu (0.4418, 0.5968, 0.5089)  2 Pu 2.54-2.63
Pu (0.4796, 0.5679, 0.0081)  2 Pt 3.03-3.12, 7 Pu 3.05-3.39, 4 Ge 3.06-3.14
Pu (0.5401, 0.0792, 0.5725)  1 Pu 2.54
Ge (0.0003, 0.0061, 0.5072)  1 Ge 2.68
Ge (0.9950, 0.5530, 0.1295)  1 Pt 2.65, 1 Ge 2.68
Pt (0.5671, 0.1425, 0.1100)  1 Ge 2.65

Spin magnetization: 5.6 μB per formula unit
DFT total energy: -11.220 eV/atom
ΔE to the lowest computed polymorph: 44.6 meV/atom
Mass density: 15.4 Mg/m³
Formation energy from the elements: -0.35 eV/atom

[2]
BaHgCl2: optimized geometry, GGA-PBE.

Cell lengths 3.9578, 3.9557, 9.5409 Å; angles 90.00, 90.15, 90.00 degrees
Closest atoms and distances in Å follow each position.
Atoms (fractional coordinates):
Ba (0.0000, 0.0000, 0.0000)  8 Cl 3.24
Hg (0.0000, 0.0000, 0.5000)  4 Hg 3.96, 8 Cl 4.20-4.21
Cl (0.4984, 0.5000, 0.8289)  4 Ba 3.24, 1 Cl 3.26
Cl (0.5016, 0.5000, 0.1711)  4 Ba 3.24, 1 Cl 3.26

Spin magnetization: 0.0 μB per formula unit
DFT total energy: -3.173 eV/atom
Formation energy without anion corrections: -6.78 eV per formula unit
ΔE to the lowest computed polymorph: 110.7 meV/atom
Mass density: 4.5 Mg/m³

[3]
DyHoGaPd: optimized geometry, GGA-PBE.

Cell lengths 7.0843, 7.0843, 7.0843 Å; angles 90.00, 90.00, 90.00 degrees
Closest atoms and distances in Å follow each position.
Atoms (fractional coordinates):
Dy (0.0000, 0.0000, 0.0000)  4 Pd 3.07, 4 Ga 3.07
Dy (0.0000, 0.5000, 0.5000)  4 Pd 3.07, 4 Ga 3.07
Dy (0.5000, 0.0000, 0.5000)  4 Pd 3.07, 4 Ga 3.07
Dy (0.5000, 0.5000, 0.0000)  4 Pd 3.07, 4 Ga 3.07
Ho (0.0000, 0.0000, 0.5000)  4 Pd 3.07, 4 Ga 3.07
Ho (0.0000, 0.5000, 0.0000)  4 Pd 3.07, 4 Ga 3.07
Ho (0.5000, 0.0000, 0.0000)  4 Pd 3.07, 4 Ga 3.07
Ho (0.5000, 0.5000, 0.5000)  4 Pd 3.07, 4 Ga 3.07
Ga (0.2500, 0.2500, 0.7500)  4 Dy 3.07, 4 Ho 3.07
Ga (0.2500, 0.7500, 0.2500)  4 Dy 3.07, 4 Ho 3.07
Ga (0.7500, 0.2500, 0.2500)  4 Dy 3.07, 4 Ho 3.07
Ga (0.7500, 0.7500, 0.7500)  4 Ho 3.07, 4 Dy 3.07
Pd (0.2500, 0.2500, 0.2500)  4 Dy 3.07, 4 Ho 3.07
Pd (0.2500, 0.7500, 0.7500)  4 Dy 3.07, 4 Ho 3.07
Pd (0.7500, 0.2500, 0.7500)  4 Dy 3.07, 4 Ho 3.07
Pd (0.7500, 0.7500, 0.2500)  4 Dy 3.07, 4 Ho 3.07

Spin magnetization: 0.0 μB per formula unit
DFT total energy: -5.063 eV/atom
ΔE to the lowest computed polymorph: 37.0 meV/atom
Mass density: 9.4 Mg/m³
Formation energy from the elements: -0.71 eV/atom

[4]
ErGeAs2: optimized geometry, GGA-PBE.

Cell lengths 4.3914, 4.3914, 22.2105 Å; angles 90.00, 90.00, 120.00 degrees
Closest atoms and distances in Å follow each position.
Atoms (fractional coordinates):
Er (0.0000, 0.0000, 0.0000)  6 As 2.88
Er (0.3333, 0.6667, 0.6667)  6 As 2.88
Er (0.6667, 0.3333, 0.3333)  6 As 2.88
Ge (0.0000, 0.0000, 0.5000)  2 As 2.34
Ge (0.3333, 0.6667, 0.1667)  2 As 2.34
Ge (0.6667, 0.3333, 0.8333)  2 As 2.34
As (0.0000, 0.0000, 0.3946)  1 Ge 2.34
As (0.0000, 0.0000, 0.6054)  1 Ge 2.34
As (0.3333, 0.6667, 0.0613)  1 Ge 2.34
As (0.3333, 0.6667, 0.2720)  1 Ge 2.34
As (0.6667, 0.3333, 0.7280)  1 Ge 2.34
As (0.6667, 0.3333, 0.9387)  1 Ge 2.34

Spin magnetization: 0.0 μB per formula unit
DFT total energy: -4.764 eV/atom
Mass density: 5.2 Mg/m³
Formation energy from the elements: -0.14 eV/atom

[5]
BaMg2Cu: optimized geometry, GGA-PBE.

Cell lengths 7.5034, 7.5034, 7.5034 Å; angles 90.00, 90.00, 90.00 degrees
Closest atoms and distances in Å follow each position.
Atoms (fractional coordinates):
Ba (0.0000, 0.0000, 0.0000)  8 Mg 3.25
Ba (0.0000, 0.5000, 0.5000)  8 Mg 3.25
Ba (0.5000, 0.0000, 0.5000)  8 Mg 3.25
Ba (0.5000, 0.5000, 0.0000)  8 Mg 3.25
Mg (0.2500, 0.2500, 0.2500)  4 Ba 3.25, 4 Cu 3.25
Mg (0.2500, 0.2500, 0.7500)  4 Ba 3.25, 4 Cu 3.25
Mg (0.2500, 0.7500, 0.2500)  4 Ba 3.25, 4 Cu 3.25
Mg (0.2500, 0.7500, 0.7500)  4 Ba 3.25, 4 Cu 3.25
Mg (0.7500, 0.2500, 0.2500)  4 Ba 3.25, 4 Cu 3.25
Mg (0.7500, 0.2500, 0.7500)  4 Ba 3.25, 4 Cu 3.25
Mg (0.7500, 0.7500, 0.2500)  4 Ba 3.25, 4 Cu 3.25
Mg (0.7500, 0.7500, 0.7500)  4 Ba 3.25, 4 Cu 3.25
Cu (0.0000, 0.0000, 0.5000)  8 Mg 3.25
Cu (0.0000, 0.5000, 0.0000)  8 Mg 3.25
Cu (0.5000, 0.0000, 0.0000)  8 Mg 3.25
Cu (0.5000, 0.5000, 0.5000)  8 Mg 3.25

Spin magnetization: 0.0 μB per formula unit
DFT total energy: -2.082 eV/atom
Mass density: 3.9 Mg/m³
Formation energy from the elements: 0.22 eV/atom

[6]
KCdPt2: optimized geometry, GGA-PBE.

Cell lengths 2.9590, 4.5063, 6.9625 Å; angles 90.00, 102.24, 90.00 degrees
Closest atoms and distances in Å follow each position.
Atoms (fractional coordinates):
K (0.0000, 0.0000, 0.0000)  2 K 2.96, 4 Pt 3.26
Cd (0.3182, 0.5000, 0.6248)  6 Pt 2.83-2.85, 2 Cd 2.96
Pt (0.6359, 0.5000, 0.2694)  4 Pt 2.72-2.96, 2 Cd 2.83-2.84
Pt (0.7543, 0.0000, 0.4924)  4 Pt 2.72-2.96, 4 Cd 2.84-2.85

Spin magnetization: 0.0 μB per formula unit
DFT total energy: -3.478 eV/atom
ΔE to the lowest computed polymorph: 258.4 meV/atom
Mass density: 9.9 Mg/m³
Formation energy from the elements: 0.05 eV/atom

[7]
CaNdCdNi: optimized geometry, GGA-PBE.

Cell lengths 7.3167, 7.3167, 7.3167 Å; angles 90.00, 90.00, 90.00 degrees
Closest atoms and distances in Å follow each position.
Atoms (fractional coordinates):
Ca (0.0000, 0.0000, 0.0000)  4 Cd 3.17, 4 Ni 3.17
Ca (0.0000, 0.5000, 0.5000)  4 Cd 3.17, 4 Ni 3.17
Ca (0.5000, 0.0000, 0.5000)  4 Cd 3.17, 4 Ni 3.17
Ca (0.5000, 0.5000, 0.0000)  4 Cd 3.17, 4 Ni 3.17
Nd (0.0000, 0.0000, 0.5000)  4 Cd 3.17, 4 Ni 3.17
Nd (0.0000, 0.5000, 0.0000)  4 Cd 3.17, 4 Ni 3.17
Nd (0.5000, 0.0000, 0.0000)  4 Cd 3.17, 4 Ni 3.17
Nd (0.5000, 0.5000, 0.5000)  4 Cd 3.17, 4 Ni 3.17
Cd (0.2500, 0.2500, 0.7500)  4 Nd 3.17, 4 Ca 3.17
Cd (0.2500, 0.7500, 0.2500)  4 Nd 3.17, 4 Ca 3.17
Cd (0.7500, 0.2500, 0.2500)  4 Nd 3.17, 4 Ca 3.17
Cd (0.7500, 0.7500, 0.7500)  4 Nd 3.17, 4 Ca 3.17
Ni (0.2500, 0.2500, 0.2500)  4 Nd 3.17, 4 Ca 3.17
Ni (0.2500, 0.7500, 0.7500)  4 Nd 3.17, 4 Ca 3.17
Ni (0.7500, 0.2500, 0.7500)  4 Nd 3.17, 4 Ca 3.17
Ni (0.7500, 0.7500, 0.2500)  4 Nd 3.17, 4 Ca 3.17

Spin magnetization: 0.0 μB per formula unit
DFT total energy: -3.534 eV/atom
Mass density: 6.0 Mg/m³
Formation energy from the elements: -0.17 eV/atom

[8]
CuGeTe2: optimized geometry, GGA-PBE.

Cell lengths 3.5194, 3.5194, 28.3863 Å; angles 90.00, 90.00, 120.00 degrees
Closest atoms and distances in Å follow each position.
Atoms (fractional coordinates):
Cu (0.0000, 0.0000, 0.0000)  6 Te 2.68
Cu (0.3333, 0.6667, 0.6667)  6 Te 2.68
Cu (0.6667, 0.3333, 0.3333)  6 Te 2.68
Ge (0.0000, 0.0000, 0.5000)  2 Te 2.99
Ge (0.3333, 0.6667, 0.1667)  2 Te 2.99
Ge (0.6667, 0.3333, 0.8333)  2 Te 2.99
Te (0.0000, 0.0000, 0.3946)  3 Cu 2.68, 1 Ge 2.99
Te (0.0000, 0.0000, 0.6054)  3 Cu 2.68, 1 Ge 2.99
Te (0.3333, 0.6667, 0.0613)  3 Cu 2.68, 1 Ge 2.99
Te (0.3333, 0.6667, 0.2720)  3 Cu 2.68, 1 Ge 2.99
Te (0.6667, 0.3333, 0.7280)  3 Cu 2.68, 1 Ge 2.99
Te (0.6667, 0.3333, 0.9387)  3 Cu 2.68, 1 Ge 2.99

Spin magnetization: 0.0 μB per formula unit
DFT total energy: -3.470 eV/atom
Formation energy without anion corrections: 1.12 eV per formula unit
Mass density: 6.4 Mg/m³